[1]
Entry from Alexandria via LeMat-Bulk: a relaxed structure of CdInF4 (PBE).

Summary:
Calculated total energy, eV per atom: -3.99
Energy relative to the elements, uncorrected, eV/atom: -2.1369
Total moment, μB per cell: 0.00
Fermi-level density of states, states/eV/atom: 0.22

a b c (Å): 12.680 4.409 8.792
angles (deg): 90.00 114.61 90.00
Space group C2/m (No. 12)
Unique sites:
Cd  0.125  0.000  0.200 (multiplicity 4)
In  0.128  0.000  0.702 (multiplicity 4)
F  0.074  0.000  0.422 (multiplicity 4)
F  0.078  0.000  0.919 (multiplicity 4)
F  0.170  0.500  0.724 (multiplicity 4)
F  0.176  0.500  0.231 (multiplicity 4)

=====

[2]
Entry from Alexandria via LeMat-Bulk: a relaxed structure of Pm5Tl2Cd (PBE).

Summary:
Calculated total energy, eV per atom: -3.88
Energy of formation from the pure elements, meV per atom: -208
Total moment, μB per cell: 3.44
Fermi-level density of states, states/eV/atom: 1.19

a b c (Å): 5.170 5.170 18.076
angles (deg): 90.00 90.00 90.00
Space group I4/mmm (No. 139)
Unique sites:
Pm  0.000  0.000  0.000 (multiplicity 2)
Pm  0.000  0.500  0.132 (multiplicity 8)
Tl  0.000  0.000  0.251 (multiplicity 4)
Cd  0.000  0.000  0.500 (multiplicity 2)

=====

[3]
Entry from Alexandria via LeMat-Bulk: a relaxed structure of ZrMn3Se6 (PBE).

Summary:
Calculated total energy, eV per atom: -6.33
Energy relative to the elements, uncorrected, eV/atom: -0.6356
Total moment, μB per cell: 39.16
Fermi-level density of states, states/eV/atom: 0.37

a b c (Å): 6.5875 6.5875 17.9167
angles (deg): 90.00 90.00 120.00
Space group R3 (No. 146, hexagonal axes)
Unique sites:
Zr  0.0000  0.0000  0.0000 (multiplicity 3)
Mn  0.0000  0.0000  0.1839 (multiplicity 3)
Mn  0.0000  0.0000  0.4980 (multiplicity 3)
Mn  0.0000  0.0000  0.6832 (multiplicity 3)
Se  0.0173  0.6768  0.7618 (multiplicity 9)
Se  0.0277  0.3497  0.2581 (multiplicity 9)

=====

[4]
Entry from Alexandria via LeMat-Bulk: a relaxed structure of TmVBr2 (PBE).

Summary:
Calculated total energy, eV per atom: -4.52
Energy relative to the elements, uncorrected, eV/atom: -0.2836
Total moment, μB per cell: 11.45
Fermi-level density of states, states/eV/atom: 0.84

a b c (Å): 3.7248 3.7248 27.0304
angles (deg): 90.00 90.00 120.00
Space group R-3m (No. 166, hexagonal axes)
Unique sites:
Tm  0.0000  0.0000  0.0000 (multiplicity 3)
V  0.0000  0.0000  0.5000 (multiplicity 3)
Br  0.0000  0.0000  0.1091 (multiplicity 6)

=====

[5]
Entry from Alexandria via LeMat-Bulk: a relaxed structure of TlInHg6 (PBE).

Summary:
Calculated total energy, eV per atom: -0.87
Energy of formation from the pure elements, meV per atom: -9
Total moment, μB per cell: 0.00
Fermi-level density of states, states/eV/atom: 0.23

a b c (Å): 5.521 6.773 11.695
angles (deg): 90.00 90.00 90.00
Space group Amm2 (No. 38)
Unique sites:
Tl  0.000  0.000  0.000 (multiplicity 2)
In  0.500  0.000  0.669 (multiplicity 2)
Hg  0.000  0.000  0.499 (multiplicity 2)
Hg  0.000  0.249  0.250 (multiplicity 4)
Hg  0.500  0.000  0.173 (multiplicity 2)
Hg  0.500  0.244  0.417 (multiplicity 4)

=====

[6]
Entry from Alexandria via LeMat-Bulk: a relaxed structure of Pm2Pr5Ru4 (PBE).

Summary:
Calculated total energy, eV per atom: -6.34
Energy of formation from the pure elements, meV per atom: 74
Total moment, μB per cell: 0.00
Fermi-level density of states, states/eV/atom: 0.78

a b c (Å): 24.609 3.581 7.199
angles (deg): 90.00 90.27 90.00
Space group C2/m (No. 12)
Unique sites:
Pm  0.083  0.000  0.126 (multiplicity 4)
Pr  0.000  0.500  0.500 (multiplicity 2)
Pr  0.132  0.000  0.657 (multiplicity 4)
Pr  0.231  0.000  0.211 (multiplicity 4)
Ru  0.027  0.000  0.802 (multiplicity 4)
Ru  0.168  0.500  0.959 (multiplicity 4)

=====

[7]
Entry from Alexandria via LeMat-Bulk: a relaxed structure of La2BeCoAg (PBE).

Summary:
Calculated total energy, eV per atom: -4.79
Energy of formation from the pure elements, meV per atom: -82
Total moment, μB per cell: 0.00
Fermi-level density of states, states/eV/atom: 0.74

a b c (Å): 5.255 5.255 4.297
angles (deg): 90.00 90.00 90.00
Space group P4/mmm (No. 123)
Unique sites:
La  0.000  0.500  0.000 (multiplicity 2)
Be  0.000  0.000  0.500 (multiplicity 1)
Co  0.000  0.000  0.000 (multiplicity 1)
Ag  0.500  0.500  0.500 (multiplicity 1)

=====

[8]
Entry from Alexandria via LeMat-Bulk: a relaxed structure of Y5ZnSe4 (PBE).

Summary:
Calculated total energy, eV per atom: -6.27
Energy relative to the elements, uncorrected, eV/atom: -1.5150
Total moment, μB per cell: 0.00
Fermi-level density of states, states/eV/atom: 0.29

a b c (Å): 9.182 9.182 5.801
angles (deg): 90.00 90.00 90.00
Space group I4/m (No. 87)
Unique sites:
Y  0.000  0.000  0.000 (multiplicity 2)
Y  0.099  0.705  0.500 (multiplicity 8)
Zn  0.000  0.000  0.500 (multiplicity 2)
Se  0.097  0.697  0.000 (multiplicity 8)

=====

[9]
Entry from Alexandria via LeMat-Bulk: a relaxed structure of GeIr3I (PBE).

Summary:
Calculated total energy, eV per atom: -5.22
Energy relative to the elements, uncorrected, eV/atom: 1.3308
Total moment, μB per cell: 1.61
Fermi-level density of states, states/eV/atom: 1.31

a b c (Å): 4.663 4.663 4.663
angles (deg): 90.00 90.00 90.00
Space group Pm-3m (No. 221)
Unique sites:
Ge  0.000  0.000  0.000 (multiplicity 1)
Ir  0.000  0.000  0.500 (multiplicity 3)
I  0.500  0.500  0.500 (multiplicity 1)

=====

[10]
Entry from Alexandria via LeMat-Bulk: a relaxed structure of TbCeC (PBE).

Summary:
Calculated total energy, eV per atom: -6.77
Energy of formation from the pure elements, meV per atom: -174
Total moment, μB per cell: 1.76
Fermi-level density of states, states/eV/atom: 1.43

a b c (Å): 6.174 3.559 6.261
angles (deg): 90.00 91.03 90.00
Space group P2_1/m (No. 11)
Unique sites:
Tb  0.081  0.250  0.283 (multiplicity 2)
Ce  0.420  0.250  0.729 (multiplicity 2)
C  0.258  0.750  0.506 (multiplicity 2)

=====

[11]
Entry from Alexandria via LeMat-Bulk: a relaxed structure of YNiB4 (PBE).

Summary:
Calculated total energy, eV per atom: -7.06
Energy of formation from the pure elements, meV per atom: -572
Total moment, μB per cell: 0.00
Fermi-level density of states, states/eV/atom: 0.27

a b c (Å): 7.549 7.549 8.525
angles (deg): 90.00 90.00 90.00
Space group I4/mmm (No. 139)
Unique sites:
Y  0.000  0.000  0.203 (multiplicity 4)
Y  0.000  0.500  0.250 (multiplicity 4)
Ni  0.000  0.229  0.500 (multiplicity 8)
B  0.111  0.275  0.000 (multiplicity 16)
B  0.234  0.234  0.347 (multiplicity 16)

=====

[12]
Entry from Alexandria via LeMat-Bulk: a relaxed structure of GdMg2Bi (PBE).

Summary:
Calculated total energy, eV per atom: -5.66
Energy of formation from the pure elements, meV per atom: -377
Total moment, μB per cell: 7.22
Fermi-level density of states, states/eV/atom: 0.60

a b c (Å): 4.581 4.581 5.022
angles (deg): 90.00 90.00 90.00
Space group P4/mmm (No. 123)
Unique sites:
Gd  0.000  0.000  0.000 (multiplicity 1)
Mg  0.000  0.500  0.500 (multiplicity 2)
Bi  0.500  0.500  0.000 (multiplicity 1)